First-principles (PBE) data for a relaxed structure of LiBeAl2Cu4, as listed in OQMD.

## Properties
Final energy = -58.9 eV/cell

Lattice parameters (Å, degrees): 7.113 7.113 7.113 132.68 132.68 69.16
Fractional positions:
Al (0.509, 0.509, 0.000)
Al (0.991, 0.991, 0.000)
Al (0.759, 0.259, 0.500)
Al (0.241, 0.741, 0.500)
Be (0.250, 0.250, 0.000)
Be (0.500, 0.000, 0.500)
Cu (0.145, 0.625, 0.020)
Cu (0.375, 0.895, 0.020)
Cu (0.375, 0.355, 0.480)
Cu (0.605, 0.625, 0.480)
Cu (0.145, 0.125, 0.520)
Cu (0.875, 0.895, 0.520)
Cu (0.605, 0.125, 0.980)
Cu (0.875, 0.355, 0.980)
Li (0.750, 0.750, 0.000)
Li (0.000, 0.500, 0.500)